{
  "formula": "BeSnRuRh",
  "functional": "PBE",
  "state": "optimized geometry",
  "lattice": [[0.000, 3.052, 3.052], [3.052, 0.000, 3.052], [3.052, 3.052, 0.000]],
  "species": ["Be", "Sn", "Ru", "Rh"],
  "frac_coords": [[0.000, 0.000, 0.000], [0.500, 0.500, 0.500], [0.750, 0.750, 0.750], [0.250, 0.250, 0.250]],
  "mass_density_g_cm3": 9.69,
  "energy_ev_per_cell": -25.5,
  "delta_e_f_ev_per_atom": -0.2798
}